# Ba2SrCu (PBE, optimized geometry)
data_Ba2SrCu
_chemical_formula_sum 'Ba4 Sr2 Cu2'
_cell_length_a 10.592
_cell_length_b 10.592
_cell_length_c 8.226
_cell_angle_alpha 49.92
_cell_angle_beta 49.92
_cell_angle_gamma 90.00
_space_group_name_H-M_alt 'P 1'
_space_group_IT_number 1
_space_group_name_Hall 'P 1'
loop_
_atom_site_label
_atom_site_type_symbol
_atom_site_fract_x
_atom_site_fract_y
_atom_site_fract_z
_atom_site_occupancy
Sr1 Sr 0.000 0.000 0.000 1
Sr2 Sr 0.750 0.250 0.500 1
Ba1 Ba 0.875 0.770 0.750 1
Ba2 Ba 0.520 0.125 0.250 1
Ba3 Ba 0.230 0.625 0.250 1
Ba4 Ba 0.375 0.480 0.750 1
Cu1 Cu 0.250 0.750 0.500 1
Cu2 Cu 0.500 0.500 0.000 1
# Energy above the lowest structure with this stoichiometry (meV per atom): 138
# DOS at the Fermi energy (states/eV/f.u.): 7.18
# Total moment (μB/f.u.): 0.000
# Volume (Å³/cell): 382
# ΔE_f (eV/atom): 0.15